(1)
# BaRe2As | Alexandria | GGA-PBE | relaxed
# * magnetization: 0.0 μB/cell
# * ρ: 11.51 g/cm3
# * DFT formation energy: 340.7 meV/atom
# * D(E_F): 3.47 states/eV per cell
# * VASP energy: -7.526 eV/atom
data_BaRe2As
_chemical_formula_sum 'Ba1 Re2 As1'
_cell_length_a 3.244
_cell_length_b 3.244
_cell_length_c 8.019
_cell_angle_alpha 90.00
_cell_angle_beta 90.00
_cell_angle_gamma 90.00
_space_group_name_H-M_alt 'P 1'
_space_group_IT_number 1
_space_group_name_Hall 'P 1'
loop_
_atom_site_label
_atom_site_type_symbol
_atom_site_fract_x
_atom_site_fract_y
_atom_site_fract_z
_atom_site_occupancy
Ba1 Ba 0.000 0.000 0.000 1
Re1 Re 0.000 0.000 0.481 1
Re2 Re 0.500 0.500 0.320 1
As1 As 0.500 0.500 0.671 1



(2)
# NbMo2W6 | Alexandria | GGA-PBE | relaxed
# * magnetization: 0.0 μB/cell
# * ρ: 14.32 g/cm3
# * DFT formation energy: 757.4 meV/atom
# * D(E_F): 6.71 states/eV per cell
# * VASP energy: -11.404 eV/atom
data_NbMo2W6
_chemical_formula_sum 'Nb1 Mo2 W6'
_cell_length_a 7.495
_cell_length_b 7.495
_cell_length_c 4.484
_cell_angle_alpha 107.30
_cell_angle_beta 107.30
_cell_angle_gamma 42.40
_space_group_name_H-M_alt 'P 1'
_space_group_IT_number 1
_space_group_name_Hall 'P 1'
loop_
_atom_site_label
_atom_site_type_symbol
_atom_site_fract_x
_atom_site_fract_y
_atom_site_fract_z
_atom_site_occupancy
Nb1 Nb 0.000 0.000 0.000 1
Mo1 Mo 0.392 0.392 0.891 1
Mo2 Mo 0.608 0.608 0.109 1
W1 W 0.065 0.544 0.304 1
W2 W 0.259 0.741 0.500 1
W3 W 0.456 0.935 0.696 1
W4 W 0.544 0.065 0.304 1
W5 W 0.741 0.259 0.500 1
W6 W 0.935 0.456 0.696 1



(3)
# PmDy3TmSc | Alexandria | GGA-PBE | relaxed
# * magnetization: 0.0 μB/cell
# * ρ: 7.70 g/cm3
# * DFT formation energy: 36.8 meV/atom
# * D(E_F): 17.47 states/eV per cell
# * VASP energy: -4.857 eV/atom
data_PmDy3TmSc
_chemical_formula_sum 'Pm2 Dy6 Tm2 Sc2'
_cell_length_a 7.826
_cell_length_b 7.826
_cell_length_c 9.948
_cell_angle_alpha 90.00
_cell_angle_beta 90.00
_cell_angle_gamma 143.16
_space_group_name_H-M_alt 'P 1'
_space_group_IT_number 1
_space_group_name_Hall 'P 1'
loop_
_atom_site_label
_atom_site_type_symbol
_atom_site_fract_x
_atom_site_fract_y
_atom_site_fract_z
_atom_site_occupancy
Pm1 Pm 0.003 0.997 0.750 1
Pm2 Pm 0.997 0.003 0.250 1
Dy1 Dy 0.167 0.833 0.501 1
Dy2 Dy 0.167 0.833 0.999 1
Dy3 Dy 0.331 0.669 0.750 1
Dy4 Dy 0.669 0.331 0.250 1
Dy5 Dy 0.833 0.167 0.001 1
Dy6 Dy 0.833 0.167 0.499 1
Tm1 Tm 0.500 0.500 0.000 1
Tm2 Tm 0.500 0.500 0.500 1
Sc1 Sc 0.332 0.668 0.250 1
Sc2 Sc 0.668 0.332 0.750 1



(4)
# Dy4YCd5 | Alexandria | GGA-PBE | relaxed
# * magnetization: 0.0 μB/cell
# * ρ: 8.22 g/cm3
# * DFT formation energy: -325.2 meV/atom
# * D(E_F): 11.62 states/eV per cell
# * VASP energy: -3.270 eV/atom
data_Dy4YCd5
_chemical_formula_sum 'Dy4 Y1 Cd5'
_cell_length_a 3.742
_cell_length_b 3.742
_cell_length_c 18.763
_cell_angle_alpha 90.00
_cell_angle_beta 90.00
_cell_angle_gamma 90.00
_space_group_name_H-M_alt 'P 1'
_space_group_IT_number 1
_space_group_name_Hall 'P 1'
loop_
_atom_site_label
_atom_site_type_symbol
_atom_site_fract_x
_atom_site_fract_y
_atom_site_fract_z
_atom_site_occupancy
Dy1 Dy 0.000 0.000 0.100 1
Dy2 Dy 0.000 0.000 0.300 1
Dy3 Dy 0.000 0.000 0.700 1
Dy4 Dy 0.000 0.000 0.900 1
Y1 Y 0.000 0.000 0.500 1
Cd1 Cd 0.500 0.500 0.000 1
Cd2 Cd 0.500 0.500 0.200 1
Cd3 Cd 0.500 0.500 0.399 1
Cd4 Cd 0.500 0.500 0.601 1
Cd5 Cd 0.500 0.500 0.800 1



(5)
# MgZr4Cu | Alexandria | GGA-PBE | relaxed
# * magnetization: 0.0 μB/cell
# * ρ: 5.57 g/cm3
# * DFT formation energy: 440.9 meV/atom
# * D(E_F): 4.86 states/eV per cell
# * VASP energy: -6.206 eV/atom
data_MgZr4Cu
_chemical_formula_sum 'Mg1 Zr4 Cu1'
_cell_length_a 5.756
_cell_length_b 5.756
_cell_length_c 5.756
_cell_angle_alpha 60.00
_cell_angle_beta 60.00
_cell_angle_gamma 60.00
_space_group_name_H-M_alt 'P 1'
_space_group_IT_number 1
_space_group_name_Hall 'P 1'
loop_
_atom_site_label
_atom_site_type_symbol
_atom_site_fract_x
_atom_site_fract_y
_atom_site_fract_z
_atom_site_occupancy
Mg1 Mg 0.000 0.000 0.000 1
Zr1 Zr 0.125 0.625 0.625 1
Zr2 Zr 0.625 0.125 0.625 1
Zr3 Zr 0.625 0.625 0.125 1
Zr4 Zr 0.625 0.625 0.625 1
Cu1 Cu 0.250 0.250 0.250 1



(6)
# BaLa2Si | Alexandria | GGA-PBE | relaxed
# * magnetization: 0.0 μB/cell
# * ρ: 5.95 g/cm3
# * raw formation energy: -15 kJ/mol of formula units
# * D(E_F): 4.73 states/eV per cell
# * VASP energy: -4.339 eV/atom
data_BaLa2Si
_chemical_formula_sum 'Ba1 La2 Si1'
_cell_length_a 6.103
_cell_length_b 6.103
_cell_length_c 6.103
_cell_angle_alpha 131.85
_cell_angle_beta 131.85
_cell_angle_gamma 70.46
_space_group_name_H-M_alt 'P 1'
_space_group_IT_number 1
_space_group_name_Hall 'P 1'
loop_
_atom_site_label
_atom_site_type_symbol
_atom_site_fract_x
_atom_site_fract_y
_atom_site_fract_z
_atom_site_occupancy
Ba1 Ba 0.000 0.000 0.000 1
La1 La 0.250 0.750 0.500 1
La2 La 0.750 0.250 0.500 1
Si1 Si 0.500 0.500 0.000 1



(7)
# KAsW2 | Alexandria | GGA-PBE | relaxed
# * magnetization: 0.0 μB/cell
# * ρ: 10.09 g/cm3
# * DFT formation energy: 1248.0 meV/atom
# * D(E_F): 3.25 states/eV per cell
# * VASP energy: -6.665 eV/atom
data_KAsW2
_chemical_formula_sum 'K1 As1 W2'
_cell_length_a 6.393
_cell_length_b 6.393
_cell_length_c 2.629
_cell_angle_alpha 100.67
_cell_angle_beta 100.67
_cell_angle_gamma 126.05
_space_group_name_H-M_alt 'P 1'
_space_group_IT_number 1
_space_group_name_Hall 'P 1'
loop_
_atom_site_label
_atom_site_type_symbol
_atom_site_fract_x
_atom_site_fract_y
_atom_site_fract_z
_atom_site_occupancy
K1 K 0.000 0.000 0.000 1
As1 As 0.500 0.500 0.000 1
W1 W 0.000 0.500 0.000 1
W2 W 0.500 0.000 0.000 1



(8)
# K2LiSc | Alexandria | GGA-PBE | relaxed
# * magnetization: 0.9 μB/cell
# * ρ: 1.40 g/cm3
# * DFT formation energy: 473.2 meV/atom
# * D(E_F): 4.49 states/eV per cell
# * VASP energy: -2.137 eV/atom
data_K2LiSc
_chemical_formula_sum 'K2 Li1 Sc1'
_cell_length_a 3.598
_cell_length_b 3.598
_cell_length_c 13.149
_cell_angle_alpha 90.00
_cell_angle_beta 90.00
_cell_angle_gamma 114.97
_space_group_name_H-M_alt 'P 1'
_space_group_IT_number 1
_space_group_name_Hall 'P 1'
loop_
_atom_site_label
_atom_site_type_symbol
_atom_site_fract_x
_atom_site_fract_y
_atom_site_fract_z
_atom_site_occupancy
K1 K 0.000 0.000 0.246 1
K2 K 0.000 0.000 0.754 1
Li1 Li 0.500 0.500 0.000 1
Sc1 Sc 0.500 0.500 0.500 1



(9)
# BaSr2Sb2 | Alexandria | GGA-PBE | relaxed
# * magnetization: 0.0 μB/cell
# * ρ: 4.23 g/cm3
# * raw formation energy: -311 kJ/mol of formula units
# * D(E_F): 1.23 states/eV per cell
# * VASP energy: -3.350 eV/atom
data_BaSr2Sb2
_chemical_formula_sum 'Ba1 Sr2 Sb2'
_cell_length_a 7.161
_cell_length_b 7.161
_cell_length_c 7.161
_cell_angle_alpha 128.55
_cell_angle_beta 128.55
_cell_angle_gamma 75.74
_space_group_name_H-M_alt 'P 1'
_space_group_IT_number 1
_space_group_name_Hall 'P 1'
loop_
_atom_site_label
_atom_site_type_symbol
_atom_site_fract_x
_atom_site_fract_y
_atom_site_fract_z
_atom_site_occupancy
Ba1 Ba 0.000 0.000 0.000 1
Sr1 Sr 0.328 0.328 0.000 1
Sr2 Sr 0.672 0.672 0.000 1
Sb1 Sb 0.250 0.750 0.500 1
Sb2 Sb 0.750 0.250 0.500 1



(10)
# Sm2Mg3Zn2 | Alexandria | GGA-PBE | relaxed
# * magnetization: 0.0 μB/cell
# * ρ: 4.99 g/cm3
# * DFT formation energy: -191.7 meV/atom
# * D(E_F): 4.92 states/eV per cell
# * VASP energy: -2.587 eV/atom
data_Sm2Mg3Zn2
_chemical_formula_sum 'Sm2 Mg3 Zn2'
_cell_length_a 5.638
_cell_length_b 5.638
_cell_length_c 7.206
_cell_angle_alpha 96.90
_cell_angle_beta 96.90
_cell_angle_gamma 47.74
_space_group_name_H-M_alt 'P 1'
_space_group_IT_number 1
_space_group_name_Hall 'P 1'
loop_
_atom_site_label
_atom_site_type_symbol
_atom_site_fract_x
_atom_site_fract_y
_atom_site_fract_z
_atom_site_occupancy
Sm1 Sm 0.126 0.126 0.354 1
Sm2 Sm 0.874 0.874 0.646 1
Mg1 Mg 0.185 0.185 0.863 1
Mg2 Mg 0.500 0.500 0.000 1
Mg3 Mg 0.815 0.815 0.137 1
Zn1 Zn 0.417 0.417 0.348 1
Zn2 Zn 0.583 0.583 0.652 1



(11)
# Cr2TcAuS | Alexandria | GGA-PBE | relaxed
# * magnetization: 5.0 μB/cell
# * ρ: 6.07 g/cm3
# * raw formation energy: 770 kJ/mol of formula units
# * D(E_F): 4.39 states/eV per cell
# * VASP energy: -5.808 eV/atom
data_Cr2TcAuS
_chemical_formula_sum 'Cr2 Tc1 Au1 S1'
_cell_length_a 5.082
_cell_length_b 5.082
_cell_length_c 4.567
_cell_angle_alpha 90.00
_cell_angle_beta 90.00
_cell_angle_gamma 90.00
_space_group_name_H-M_alt 'P 1'
_space_group_IT_number 1
_space_group_name_Hall 'P 1'
loop_
_atom_site_label
_atom_site_type_symbol
_atom_site_fract_x
_atom_site_fract_y
_atom_site_fract_z
_atom_site_occupancy
Cr1 Cr 0.000 0.500 0.000 1
Cr2 Cr 0.500 0.000 0.000 1
Tc1 Tc 0.000 0.000 0.500 1
Au1 Au 0.500 0.500 0.000 1
S1 S 0.500 0.500 0.500 1



(12)
# HoU3Tl4Te8 | Alexandria | GGA-PBE | relaxed
# * magnetization: 9.0 μB/cell
# * ρ: 8.03 g/cm3
# * raw formation energy: -992 kJ/mol of formula units
# * D(E_F): 21.05 states/eV per cell
# * VASP energy: -5.208 eV/atom
data_HoU3Tl4Te8
_chemical_formula_sum 'Ho1 U3 Tl4 Te8'
_cell_length_a 9.749
_cell_length_b 9.749
_cell_length_c 9.749
_cell_angle_alpha 53.89
_cell_angle_beta 53.89
_cell_angle_gamma 53.89
_space_group_name_H-M_alt 'P 1'
_space_group_IT_number 1
_space_group_name_Hall 'P 1'
loop_
_atom_site_label
_atom_site_type_symbol
_atom_site_fract_x
_atom_site_fract_y
_atom_site_fract_z
_atom_site_occupancy
Ho1 Ho 0.000 0.000 0.000 1
U1 U 0.000 0.500 0.500 1
U2 U 0.500 0.000 0.500 1
U3 U 0.500 0.500 0.000 1
Tl1 Tl 0.000 0.000 0.500 1
Tl2 Tl 0.000 0.500 0.000 1
Tl3 Tl 0.500 0.000 0.000 1
Tl4 Tl 0.500 0.500 0.500 1
Te1 Te 0.237 0.237 0.742 1
Te2 Te 0.237 0.742 0.237 1
Te3 Te 0.258 0.763 0.763 1
Te4 Te 0.261 0.261 0.261 1
Te5 Te 0.739 0.739 0.739 1
Te6 Te 0.742 0.237 0.237 1
Te7 Te 0.763 0.258 0.763 1
Te8 Te 0.763 0.763 0.258 1